# 1
Material: TmMgCdAg
Method: DFT, PBE-GGA
State: relaxed

Geometry as POSCAR:
```
TmMgCdAg
1.0
4.9730 0.0000 0.0000
2.4865 4.3067 0.0000
2.4865 1.4356 4.0604
Mg Tm Ag Cd
1 1 1 1
Direct
0.5000 0.5000 0.5000
0.0000 0.0000 0.0000
0.2500 0.2500 0.2500
0.7500 0.7500 0.7500
```

Output
Crystal system = cubic
Theoretical density = 7.9 g/cm3
Magnetization = 0.00 μB/f.u.
Symmetry = F-43m
Total DFT energy (no corrections) = -11.00 eV per cell


# 2
Material: TbTm8Sc2
Method: DFT, PBE-GGA
State: relaxed

Geometry as POSCAR:
```
TbTm8Sc2
1.0
4.8771 0.0000 0.0000
0.0000 7.7219 0.4572
-2.4386 -2.8345 8.3371
Tb Tm Sc
1 8 2
Direct
0.5000 0.0000 0.0000
0.4061 0.5423 0.8122
0.6829 0.9109 0.3659
0.8608 0.8106 0.7216
0.9528 0.2731 0.9056
0.1392 0.1894 0.2784
0.3171 0.0891 0.6341
0.5939 0.4577 0.1878
0.0472 0.7269 0.0944
0.7720 0.3655 0.5439
0.2280 0.6345 0.4561
```

Output
Crystal system = monoclinic
Theoretical density = 8.3 g/cm3
Magnetization = 0.00 μB/f.u.
Symmetry = C2/m
Total DFT energy (no corrections) = -52.62 eV per cell


# 3
Material: GdMgSnHg
Method: DFT, PBE-GGA
State: relaxed

Geometry as POSCAR:
```
GdMgSnHg
1.0
-1.9803 4.6956 -1.0358
-3.0648 2.3546 3.4793
1.7225 4.1747 2.5782
Mg Gd Hg Sn
1 1 1 1
Direct
0.2500 0.2500 0.2500
0.7500 0.7500 0.7500
0.0000 0.0000 0.0000
0.5000 0.5000 0.5000
```

Output
Crystal system = cubic
Theoretical density = 8.4 g/cm3
Magnetization = 6.92 μB/f.u.
Symmetry = F-43m
Total DFT energy (no corrections) = -21.66 eV per cell


# 4
Material: Mg6Ga8Hg
Method: DFT, PBE-GGA
State: relaxed

Geometry as POSCAR:
```
Mg6Ga8Hg
1.0
-1.2265 -6.4840 3.8356
-3.1759 -6.0156 -3.4619
4.1309 -6.2396 -1.5039
Mg Ga Hg
6 8 1
Direct
0.9688 0.4511 0.7312
0.2688 0.0312 0.5489
0.5489 0.2688 0.0312
0.4511 0.7312 0.9688
0.7312 0.9688 0.4511
0.0312 0.5489 0.2688
0.2010 0.5649 0.8394
0.1606 0.7990 0.4351
0.4351 0.1606 0.7990
0.6040 0.6040 0.6040
0.3960 0.3960 0.3960
0.5649 0.8394 0.2010
0.8394 0.2010 0.5649
0.7990 0.4351 0.1606
0.0000 0.0000 0.0000
```

Output
Crystal system = trigonal
Theoretical density = 4.8 g/cm3
Magnetization = 0.00 μB/f.u.
Symmetry = R-3
Total DFT energy (no corrections) = -35.23 eV per cell


# 5
Material: LiYAlZn6
Method: DFT, PBE-GGA
State: relaxed

Geometry as POSCAR:
```
LiYAlZn6
1.0
6.8734 0.0000 0.0000
0.0000 8.9459 0.0000
-3.4367 -4.4729 5.5264
Li Y Al Zn
2 2 2 12
Direct
0.5000 0.0000 0.5000
0.0000 0.0000 0.5000
0.6983 0.4483 0.3966
0.3017 0.5517 0.6034
0.5000 0.5000 0.0000
0.5000 0.0000 0.0000
0.5810 0.8310 0.1621
0.9863 0.2363 0.9726
0.9444 0.1462 0.2577
0.3133 0.6115 0.2577
0.3133 0.1462 0.2577
0.9444 0.6115 0.2577
0.4190 0.1690 0.8379
0.0137 0.7637 0.0274
0.0556 0.8538 0.7423
0.6867 0.3885 0.7423
0.6867 0.8538 0.7423
0.0556 0.3885 0.7423
```

Output
Crystal system = orthorhombic
Theoretical density = 5.0 g/cm3
Magnetization = 0.00 μB/f.u.
Symmetry = Imma
Total DFT energy (no corrections) = -39.72 eV per cell


# 6
Material: CaSiP2
Method: DFT, PBE-GGA
State: relaxed

Geometry as POSCAR:
```
CaSiP2
1.0
-4.1535 -1.8871 -1.9983
-2.5668 -1.7882 3.8756
1.9797 4.5292 -0.6110
Ca P Si
1 2 1
Direct
0.7500 0.2500 0.5000
0.0000 0.0000 0.0000
0.5000 0.5000 0.0000
0.2500 0.7500 0.5000
```

Output
Crystal system = tetragonal
Theoretical density = 3.0 g/cm3
Formation energy from raw total energies = 0.014 eV per atom
Magnetization = 0.00 μB/f.u.
Symmetry = I4/mmm
Total DFT energy (no corrections) = -18.19 eV per cell


# 7
Material: TmPbS3
Method: DFT, PBE-GGA
State: relaxed

Geometry as POSCAR:
```
TmPbS3
1.0
-0.7732 -1.0195 3.8394
-7.7841 -4.0269 -2.6368
4.0421 -5.8012 -0.7263
Tm Pb S
2 2 6
Direct
0.2500 0.8631 0.3472
0.7500 0.1369 0.6528
0.2500 0.4340 0.2249
0.7500 0.5660 0.7751
0.7500 0.6593 0.4060
0.2500 0.3407 0.5940
0.7500 0.3193 0.9854
0.2500 0.9598 0.7092
0.2500 0.6807 0.0146
0.7500 0.0402 0.2908
```

Output
Crystal system = monoclinic
Theoretical density = 6.0 g/cm3
Formation energy from raw total energies = -1.056 eV per atom
Magnetization = 0.00 μB/f.u.
Symmetry = P2_1/m
Total DFT energy (no corrections) = -51.69 eV per cell


# 8
Material: As3Au2
Method: DFT, PBE-GGA
State: relaxed

Geometry as POSCAR:
```
As3Au2
1.0
-0.0948 3.9343 -5.8114
-6.0368 1.0668 -3.4175
-2.9059 5.8019 -0.2629
As Au
6 4
Direct
0.0553 0.7500 0.7500
0.7500 0.4447 0.7500
0.4447 0.0553 0.7500
0.2500 0.5553 0.2500
0.5553 0.9447 0.2500
0.9447 0.2500 0.2500
0.8580 0.8580 0.4259
0.3580 0.3580 0.9259
0.1420 0.1420 0.5741
0.6420 0.6420 0.0741
```

Output
Crystal system = trigonal
Theoretical density = 9.5 g/cm3
Magnetization = 0.00 μB/f.u.
Symmetry = R-3c
Total DFT energy (no corrections) = -39.21 eV per cell